*one*
Here is crystalline PaTcH4 at its relaxed geometry from the Alexandria database. Energies are from PBE.

* density of states at the Fermi level: 3.1 states/eV per cell

Lattice parameters (Å, degrees): 4.2982 4.2982 4.2982 60.00 60.00 60.00
Fractional positions:
H  0.6248  0.6248  0.6248
Tc  0.0000  0.0000  0.0000
H  0.6248  0.6248  0.1257
Pa  0.2500  0.2500  0.2500
H  0.6248  0.1257  0.6248
H  0.1257  0.6248  0.6248

=====

*two*
Here is crystalline PaTcH4 at its relaxed geometry from the Alexandria database. Energies are from PBE.

* density of states at the Fermi level: 8.4 states/eV per cell

Lattice parameters (Å, degrees): 3.9465 4.5657 6.4151 90.00 107.91 90.00
Fractional positions:
H  0.2072  0.4695  0.4145
H  0.2072  0.0305  0.4145
Pa  0.6354  0.2500  0.2709
H  0.0000  0.0000  0.0000
Tc  0.8905  0.2500  0.7810
Tc  0.1095  0.7500  0.2190
H  0.4111  0.2500  0.8222
H  0.5889  0.7500  0.1778
Pa  0.3646  0.7500  0.7291
H  0.7928  0.9695  0.5855
H  0.0000  0.5000  0.0000
H  0.7928  0.5305  0.5855

=====

Pick *two*: it beats the second-best structure by 0.732 eV/atom.

=====

*one*
Here is crystalline PaTe2H at its relaxed geometry from the Alexandria database. Energies are from PBE.

* density of states at the Fermi level: 5.3 states/eV per cell

Lattice parameters (Å, degrees): 4.2970 4.2970 7.6919 73.78 73.78 60.00
Each line ends with the local moment (μB).
Fractional positions:
Pa  0.0000  0.0000  0.0000  1.05
Te  0.7504  0.7504  0.7489  -0.02
H  0.5000  0.5000  0.5000  0.33
Te  0.2496  0.2496  0.2511  -0.02

=====

*two*
Here is crystalline PaTe2H at its relaxed geometry from the Alexandria database. Energies are from PBE.

Lattice parameters (Å, degrees): 4.0185 4.0185 7.8417 90.08 104.77 120.00
Fractional positions:
Te  0.1965  0.8475  0.0441
H  0.0418  0.2709  0.3127
Pa  0.7082  0.6041  0.3123
Te  0.5534  0.0274  0.5809

=====

Pick *two*: it beats the second-best structure by 0.753 eV/atom.

=====

*one*
Here is crystalline ThPa2H at its relaxed geometry from the Alexandria database. Energies are from PBE.

* density of states at the Fermi level: 5.5 states/eV per cell

Lattice parameters (Å, degrees): 3.3389 3.3389 8.9427 79.24 79.24 60.00
Fractional positions:
Pa  0.2760  0.2760  0.1720
H  0.0000  0.0000  0.0000
Pa  0.7240  0.7240  0.8280
Th  0.5000  0.5000  0.5000

=====

*two*
Here is crystalline ThPa2H at its relaxed geometry from the Alexandria database. Energies are from PBE.

* density of states at the Fermi level: 5.8 states/eV per cell

Lattice parameters (Å, degrees): 3.2167 3.2167 8.1036 90.00 90.00 90.00
Fractional positions:
H  0.5000  0.5000  0.0000
Th  0.5000  0.5000  0.5000
Pa  0.0000  0.0000  0.8253
Pa  0.0000  0.0000  0.1747

=====

Pick *one*: it beats the second-best structure by 0.233 eV/atom.

=====

*one*
Here is crystalline ThPaH at its relaxed geometry from the Alexandria database. Energies are from PBE.

* density of states at the Fermi level: 4.0 states/eV per cell

Lattice parameters (Å, degrees): 3.3101 3.3101 6.1106 105.71 105.71 90.00
Fractional positions:
Th  0.0179  0.0179  0.0359
H  0.2287  0.2287  0.4573
Pa  0.7534  0.7534  0.5068

=====

*two*
Here is crystalline ThPaH at its relaxed geometry from the Alexandria database. Energies are from PBE.

* density of states at the Fermi level: 4.4 states/eV per cell

Lattice parameters (Å, degrees): 3.3857 3.3857 6.0100 90.00 90.00 120.00
Fractional positions:
H  0.3333  0.6667  0.6844
Pa  0.0000  0.0000  0.9133
Th  0.6667  0.3333  0.4023

=====

*three*
Here is crystalline ThPaH at its relaxed geometry from the Alexandria database. Energies are from PBE.

* density of states at the Fermi level: 15.9 states/eV per cell

Lattice parameters (Å, degrees): 5.9829 6.7574 9.9534 143.55 90.00 90.00
Fractional positions:
Th  0.3937  0.0689  0.7169
Th  0.6063  0.9311  0.2831
Pa  0.8905  0.7879  0.6778
Pa  0.1095  0.2121  0.3222
H  0.7443  0.3283  0.9668
Pa  0.6095  0.2879  0.1778
H  0.2443  0.1717  0.5332
Pa  0.3905  0.7121  0.8222
Th  0.8937  0.4311  0.7831
Th  0.1063  0.5689  0.2169
H  0.2557  0.6717  0.0332
H  0.7557  0.8283  0.4668

=====

Pick *three*: it beats the second-best structure by 0.014 eV/atom.

=====

*one*
Here is crystalline PaTi2H at its relaxed geometry from the Alexandria database. Energies are from PBE.

* density of states at the Fermi level: 4.8 states/eV per cell

Lattice parameters (Å, degrees): 2.9720 2.9720 8.0391 79.35 79.35 60.00
Fractional positions:
Ti  0.8830  0.8830  0.3509
Ti  0.1170  0.1170  0.6491
H  0.5000  0.5000  0.5000
Pa  0.0000  0.0000  0.0000

=====

*two*
Here is crystalline PaTi2H at its relaxed geometry from the Alexandria database. Energies are from PBE.

* density of states at the Fermi level: 4.1 states/eV per cell

Lattice parameters (Å, degrees): 3.0345 3.0345 7.7056 78.64 78.64 60.00
Fractional positions:
Pa  0.5001  0.5001  0.4997
Ti  0.2805  0.2805  0.1585
H  0.6667  0.6667  0.0000
Ti  0.0528  0.0528  0.8417

=====

Pick *two*: it beats the second-best structure by 0.117 eV/atom.

=====

*one*
Here is crystalline PaTlH at its relaxed geometry from the Alexandria database. Energies are from PBE.

* density of states at the Fermi level: 12.6 states/eV per cell

Lattice parameters (Å, degrees): 6.0982 6.0982 6.4279 90.00 90.00 104.30
Each line ends with the local moment (μB).
Fractional positions:
Tl  0.2249  0.7751  0.5000  0.00
H  0.4295  0.4295  0.6113  0.00
Pa  0.7910  0.7910  0.1844  0.22
Tl  0.2751  0.7249  0.0000  0.00
H  0.5705  0.5705  0.3887  0.00
H  0.0705  0.0705  0.1113  0.00
H  0.9295  0.9295  0.8887  0.00
Pa  0.7090  0.7090  0.6844  0.22
Pa  0.2090  0.2090  0.8156  0.22
Tl  0.7249  0.2751  0.0000  0.00
Tl  0.7751  0.2249  0.5000  0.00
Pa  0.2910  0.2910  0.3156  0.22

=====

*two*
Here is crystalline PaTlH at its relaxed geometry from the Alexandria database. Energies are from PBE.

* density of states at the Fermi level: 3.1 states/eV per cell

Lattice parameters (Å, degrees): 3.3617 3.3617 5.7251 90.00 90.00 120.00
Fractional positions:
H  0.3333  0.6667  0.6158
Tl  0.0000  0.0000  0.9489
Pa  0.6667  0.3333  0.4353

=====

Pick *two*: it beats the second-best structure by 0.049 eV/atom.

=====

*one*
Here is crystalline Pa2VH at its relaxed geometry from the Alexandria database. Energies are from PBE.

* density of states at the Fermi level: 7.8 states/eV per cell

Lattice parameters (Å, degrees): 3.1147 3.1147 9.0732 80.12 80.12 60.00
Each line ends with the local moment (μB).
Fractional positions:
V  0.5000  0.5000  0.5000  1.13
Pa  0.9214  0.9214  0.2359  0.04
Pa  0.0786  0.0786  0.7641  0.04
H  0.0000  0.0000  0.0000  0.01

=====

*two*
Here is crystalline Pa2VH at its relaxed geometry from the Alexandria database. Energies are from PBE.

* density of states at the Fermi level: 6.3 states/eV per cell

Lattice parameters (Å, degrees): 3.1252 3.1252 6.8387 90.00 90.00 90.00
Each line ends with the local moment (μB).
Fractional positions:
Pa  0.0000  0.0000  0.2158  0.07
Pa  0.0000  0.0000  0.7842  0.07
V  0.5000  0.5000  0.5000  0.58
H  0.5000  0.5000  0.0000  0.00

=====

Pick *two*: it beats the second-best structure by 0.229 eV/atom.

=====

*one*
Here is crystalline PaV2H at its relaxed geometry from the Alexandria database. Energies are from PBE.

* density of states at the Fermi level: 4.9 states/eV per cell

Lattice parameters (Å, degrees): 2.7343 2.7343 7.3514 90.00 90.00 90.00
Fractional positions:
Pa  0.5000  0.5000  0.5000
V  0.0000  0.0000  0.8376
H  0.5000  0.5000  0.0000
V  0.0000  0.0000  0.1624

=====

*two*
Here is crystalline PaV2H at its relaxed geometry from the Alexandria database. Energies are from PBE.

* density of states at the Fermi level: 7.5 states/eV per cell

Lattice parameters (Å, degrees): 3.1309 3.1309 6.8412 76.77 76.77 60.00
Fractional positions:
V  0.2093  0.2093  0.3721
V  0.7907  0.7907  0.6279
H  0.5000  0.5000  0.5000
Pa  0.0000  0.0000  0.0000

=====

Pick *two*: it beats the second-best structure by 0.234 eV/atom.